P.
Material: RbLi2S2
Method: DFT, PBE
State: optimized geometry

The structure in POSCAR format:
```
RbLi2S2
1.0
4.3320 0.0000 0.0000
0.0000 4.3320 0.0000
2.1660 2.1660 5.6998
Li S Rb
2 2 1
Cartesian
4.3320 2.1660 2.8499
2.1660 4.3320 2.8499
2.1660 2.1660 1.6433
4.3320 4.3320 4.0565
0.0000 0.0000 0.0000
```

Output
D(E_F)	1.12	states/eV per cell
SG	No. 139
V	21.39	A^3/atom

Q.
Material: RbLi2S2
Method: DFT, PBE
State: optimized geometry

The structure in POSCAR format:
```
RbLi2S2
1.0
7.9350 0.0000 0.0000
0.0000 7.9350 0.0000
0.0000 0.0000 3.0739
Li S Rb
4 4 2
Cartesian
4.8931 0.9256 0.0000
7.0094 4.8931 0.0000
0.9256 3.0419 0.0000
3.0419 7.0094 0.0000
1.2863 5.2538 1.5370
6.6487 2.6812 1.5370
5.2538 6.6487 1.5370
2.6812 1.2863 1.5370
3.9675 3.9675 0.0000
0.0000 0.0000 0.0000
```

Output
D(E_F)	3.68	states/eV per cell
SG	No. 127
V	19.35	A^3/atom

Computed energies relative to the best structure, in kJ/mol of atoms: P 0.0; Q 13.5

P.
Material: RbLiS2
Method: DFT, PBE
State: optimized geometry

The structure in POSCAR format:
```
RbLiS2
1.0
-6.7404 6.7798 0.7554
-3.5203 8.5532 2.5337
-3.9042 8.6245 -1.5313
Li S Rb
1 2 1
Cartesian
0.0000 0.0000 0.0000
-1.1614 1.9644 0.1441
-13.0035 21.9932 1.6137
-7.0825 11.9788 0.8789
```

Output
D(E_F)	1.89	states/eV per cell
SG	No. 166
V	33.56	A^3/atom

Q.
Material: RbLiS2
Method: DFT, PBE
State: optimized geometry

The structure in POSCAR format:
```
RbLiS2
1.0
0.0000 3.6902 3.6902
3.6902 0.0000 3.6902
3.6902 3.6902 0.0000
Rb S Li
1 2 1
Cartesian
3.6902 3.6902 3.6902
1.8451 1.8451 1.8451
5.5352 5.5352 5.5352
0.0000 0.0000 0.0000
```

Output
D(E_F)	2.10	states/eV per cell
SG	No. 225
V	25.12	A^3/atom

Computed energies relative to the best structure, in kJ/mol of atoms: P 4.6; Q 0.0

P.
Material: Rb2LiVS4
Method: DFT, PBE
State: optimized geometry

The structure in POSCAR format:
```
Rb2LiVS4
1.0
-0.4277 -4.0141 -4.0954
6.4579 -2.7381 -2.0280
-1.1716 -10.5200 6.3962
S Rb V Li
8 4 2 2
Cartesian
0.0539 -10.9095 4.3888
4.9928 -4.5968 -2.3144
1.0969 -9.2501 1.1200
1.4811 -5.7417 1.1932
3.7874 -7.7809 -0.6010
0.8413 -3.8979 -2.0806
3.3518 -11.7717 -1.1665
3.8291 -15.1401 0.5518
-0.8316 -7.4981 3.3989
1.9824 -12.6615 2.1099
-0.7677 -7.0360 -1.0981
2.6623 -6.6178 -3.8848
2.5362 -7.6326 1.1603
-0.2138 -2.0071 -2.0477
2.3223 -9.6396 -0.8874
0.0000 0.0000 0.0000
```

Output
SG	No. 70
V	29.02	A^3/atom

Q.
Material: Rb2LiVS4
Method: DFT, PBE
State: optimized geometry

The structure in POSCAR format:
```
Rb2LiVS4
1.0
13.6201 -0.0052 0.0026
10.2978 6.5401 -0.0137
3.3223 -3.9060 5.2521
V S Li Rb
2 8 2 4
Cartesian
13.6201 1.3144 2.6205
20.4302 1.9716 3.9308
15.3111 0.3186 1.7085
18.7988 6.0185 0.0217
14.0757 3.3984 2.9840
6.3545 -0.1072 3.5646
11.9292 1.1735 1.2775
20.8858 2.9189 2.0392
8.4414 -3.5726 4.8565
13.1645 0.3671 4.5121
0.0000 0.0000 0.0000
6.8101 0.6572 1.3103
17.2862 3.1729 1.6836
24.0963 3.8301 2.9939
16.7641 0.1131 4.8676
9.9540 -0.5441 3.5574
```

Output
D(E_F)	0.00	states/eV per cell
SG	No. 70
V	29.20	A^3/atom

Computed energies relative to the best structure, in kJ/mol of atoms: P 2.5; Q 0.0

P.
Material: Rb2LiSb2
Method: DFT, PBE
State: optimized geometry

The structure in POSCAR format:
```
Rb2LiSb2
1.0
7.8539 0.0000 0.0000
0.0000 7.8539 0.0000
0.0000 0.0000 5.9655
Rb Li Sb
4 2 4
Cartesian
5.2600 6.5208 2.9828
6.5208 2.5939 2.9828
2.5939 1.3331 2.9828
1.3331 5.2600 2.9828
3.9269 3.9269 0.0000
0.0000 0.0000 0.0000
4.9486 1.0217 0.0000
6.8322 4.9486 0.0000
2.9053 6.8322 0.0000
1.0217 2.9053 0.0000
```

Output
D(E_F)	10.94	states/eV per cell
SG	No. 127
V	36.80	A^3/atom

Q.
Material: Rb2LiSb2
Method: DFT, PBE
State: optimized geometry

The structure in POSCAR format:
```
Rb2LiSb2
1.0
-3.9726 3.1439 -5.3416
3.3025 -5.6872 -0.7301
-7.9204 -3.8956 3.5977
Rb Sb Li
4 4 2
Cartesian
-1.2868 -4.6319 -0.3960
-2.2683 -0.7102 -2.4311
-6.3223 -5.7288 -0.0430
-7.3038 -1.8070 -2.0781
-4.2689 -2.6383 0.1047
-5.4974 -7.9521 2.9641
-3.0932 1.5131 -5.4382
-4.3217 -3.8007 -2.5788
-5.7576 2.0156 -4.1799
-6.1354 -2.7673 2.4359
```

Output
D(E_F)	8.59	states/eV per cell
SG	No. 15
V	38.27	A^3/atom

Computed energies relative to the best structure, in kJ/mol of atoms: P 3.3; Q 0.0

P.
Material: RbLiSb2
Method: DFT, PBE
State: optimized geometry

The structure in POSCAR format:
```
RbLiSb2
1.0
3.5141 0.0000 0.0000
1.7570 3.0433 0.0000
1.7570 1.0144 10.5982
Sb Li Rb
2 1 1
Cartesian
1.7570 1.0144 2.2288
5.2711 3.0433 8.3695
0.0000 0.0000 0.0000
3.5141 2.0288 5.2991
```

Output
D(E_F)	2.85	states/eV per cell
SG	No. 166
V	28.33	A^3/atom

Q.
Material: RbLiSb2
Method: DFT, PBE
State: optimized geometry

The structure in POSCAR format:
```
RbLiSb2
1.0
0.0000 3.9243 3.9243
3.9243 0.0000 3.9243
3.9243 3.9243 0.0000
Li Sb Rb
1 2 1
Cartesian
0.0000 0.0000 0.0000
5.8865 5.8865 5.8865
1.9622 1.9622 1.9622
3.9243 3.9243 3.9243
```

Output
D(E_F)	2.30	states/eV per cell
SG	No. 225
V	30.22	A^3/atom

R.
Material: RbLiSb2
Method: DFT, PBE
State: optimized geometry

The structure in POSCAR format:
```
RbLiSb2
1.0
-1.2710 -4.9341 2.5716
4.8253 -2.2909 -2.0106
6.4615 -0.6934 8.1963
Rb Sb Li
2 4 2
Cartesian
0.0000 0.0000 0.0000
3.4838 -4.6200 5.5242
7.0068 -6.3912 7.0337
1.6742 -2.5728 2.8991
4.2223 -3.1927 1.6198
7.1283 -3.6801 5.9620
1.7772 -3.6125 0.2805
6.5320 -3.2984 3.2331
```

Output
D(E_F)	4.92	states/eV per cell
SG	No. 122
V	39.29	A^3/atom

S.
Material: RbLiSb2
Method: DFT, PBE
State: optimized geometry

The structure in POSCAR format:
```
RbLiSb2
1.0
-4.8153 -0.7824 -0.6874
-2.3525 -3.6700 3.0023
-3.7931 5.8596 2.2464
Rb Sb Li
1 2 1
Cartesian
0.0000 0.0000 0.0000
-5.3164 -1.1142 3.2006
-5.6445 2.5213 1.3607
-3.0728 1.0948 2.6244
```

Output
D(E_F)	1.72	states/eV per cell
SG	No. 12
V	37.06	A^3/atom

Computed energies relative to the best structure, in kJ/mol of atoms: P 15.2; Q 32.1; R 8.5; S 0.0

P.
Material: Rb2Li2Sb
Method: DFT, PBE
State: optimized geometry

The structure in POSCAR format:
```
Rb2Li2Sb
1.0
-2.8663 7.1006 0.3365
-7.0794 -2.8842 0.5580
0.5173 -0.0821 6.1384
Li Sb Rb
4 2 4
Cartesian
-2.8177 0.2691 0.2410
-3.1376 4.2729 0.3215
-7.1280 3.9474 0.6534
-6.8081 -0.0565 0.5729
-4.9728 2.1082 0.4472
0.0000 0.0000 0.0000
-7.4098 2.6254 3.7511
-5.2736 -0.6384 3.5274
-2.0186 1.5089 3.2818
-4.1548 4.7727 3.5055
```

Output
D(E_F)	2.59	states/eV per cell
SG	No. 127
V	36.19	A^3/atom

Q.
Material: Rb2Li2Sb
Method: DFT, PBE
State: optimized geometry

The structure in POSCAR format:
```
Rb2Li2Sb
1.0
-3.8251 2.7147 1.0381
-4.2999 -2.0481 0.6280
-0.6499 -0.8855 11.0369
Rb Li Sb
2 2 1
Cartesian
-3.9515 -0.3440 8.5712
-4.8233 0.1251 4.1318
-2.6418 0.1864 0.8940
-6.1330 -0.4053 11.8090
0.0000 0.0000 0.0000
```

Output
D(E_F)	1.39	states/eV per cell
SG	No. 166
V	42.93	A^3/atom

Computed energies relative to the best structure, in kJ/mol of atoms: P 19.0; Q 0.0